Material: Rb2NaCo2F7
Method: DFT, PBE with a Hubbard U
State: optimized geometry

Cell and atoms, written as POSCAR:
```
Rb2NaCo2F7
1.0
4.137 -0.002 0.013
0.003 4.137 0.013
2.046 2.044 10.979
Rb Na Co F
2 1 2 7
Direct
0.819 0.819 0.366 Rb
0.181 0.181 0.634 Rb
0.000 0.000 0.000 Na
0.592 0.592 0.816 Co
0.408 0.408 0.184 Co
0.500 0.500 0.000 F
0.313 0.313 0.371 F
0.687 0.687 0.629 F
0.912 0.413 0.176 F
0.413 0.912 0.176 F
0.587 0.088 0.824 F
0.088 0.587 0.824 F
```

Properties
- Calculated volume: 15.64 Å³/atom
- Total magnetization: 6.00 μB per cell
- E_tot: -55.8 eV for the cell shown